Record 1
This record from the Alexandria database describes LaAl4Br at its PBEsol-relaxed geometry. The functional is SCAN.

Cell: 5.6727 5.6727 5.6727 Å, 60.00 60.00 60.00°
Fractional positions:
Al 0.3728 0.3728 0.8816
Al 0.3728 0.8816 0.3728
Al 0.3728 0.3728 0.3728
Al 0.8816 0.3728 0.3728
La 0.0000 0.0000 0.0000
Br 0.7500 0.7500 0.7500

Values from the calculation:
energy relative to the elements, uncorrected: -195 meV per atom


Record 2
This record from the Alexandria database describes TaMo at its PBEsol-relaxed geometry. The functional is SCAN.

Cell: 2.8092 4.4988 5.2613 Å, 90.00 101.05 90.00°
Fractional positions:
Mo 0.3798 0.2500 0.1233
Mo 0.6202 0.7500 0.8767
Ta 0.8654 0.2500 0.6286
Ta 0.1346 0.7500 0.3714


Record 3
This record from the Alexandria database describes MgRe2S at its PBEsol-relaxed geometry. The functional is SCAN.

Cell: 4.2719 4.2719 4.2719 Å, 60.00 60.00 60.00°
Fractional positions:
Re 0.2500 0.2500 0.2500
Re 0.7500 0.7500 0.7500
S 0.5000 0.5000 0.5000
Mg 0.0000 0.0000 0.0000

Values from the calculation:
energy relative to the elements, uncorrected: 929 meV per atom


Record 4
This record from the Alexandria database describes La5Cu at its PBEsol-relaxed geometry. The functional is SCAN.

Cell: 3.6466 6.4147 8.6458 Å, 109.70 90.00 106.51°
Fractional positions:
La 0.0310 0.0621 0.5624
La 0.3628 0.7257 0.7599
La 0.6902 0.3805 0.3461
La 0.3934 0.7867 0.2005
La 0.6684 0.3369 0.9202
Cu 0.0208 0.0416 0.0443

Values from the calculation:
polymorph energy (0 for the lowest one): 7 meV/atom


Record 5
This record from the Alexandria database describes Sc3InPt at its PBEsol-relaxed geometry. The functional is SCAN.

Cell: 5.0157 5.0157 5.0157 Å, 90.00 90.00 90.00°
Fractional positions:
Sc 0.0000 0.0000 0.5000
Sc 0.5000 0.0000 0.0000
Sc 0.0000 0.5000 0.0000
Pt 0.0000 0.0000 0.0000
In 0.5000 0.5000 0.5000


Record 6
This record from the Alexandria database describes MgTaTc2 at its PBEsol-relaxed geometry. The functional is SCAN.

Cell: 2.6982 4.3099 5.3973 Å, 90.00 98.47 90.00°
Fractional positions:
Tc 0.2143 0.0000 0.2447
Tc 0.7857 0.0000 0.7553
Mg 0.5000 0.5000 0.0000
Ta 0.0000 0.5000 0.5000


Uncorrected energy for every record listed, in sequence, given in eV/f.u.: -94.74, -101.72, -153.08, -230.88, -149.17, -141.72.